Computed, not measured: a relaxed structure of ErPaPN4 at the GGA-PBE level of DFT.

Total magnetic moment   0.0 Bohr magnetons per cell
SG   Imma, No. 74
Electronic total energy   -118.6 eV for the cell shown
Uncorrected formation energy   -0.934 eV/atom

a = 6.337 Å, b = 6.337 Å, c = 6.337 Å
α = 120.38°, β = 118.48°, γ = 91.00°
Positions (direct):
Er: 0.500 0.000 0.000
Er: 0.500 0.500 0.500
Pa: 0.000 0.000 0.000
Pa: 0.500 0.000 0.500
P: 0.118 0.368 0.750
P: 0.882 0.632 0.250
N: 0.210 0.746 0.464
N: 0.218 0.254 0.964
N: 0.229 0.259 0.530
N: 0.229 0.699 0.970
N: 0.771 0.301 0.030
N: 0.771 0.741 0.470
N: 0.782 0.746 0.036
N: 0.790 0.254 0.536